1) # CuTeCl2 (GGA-PBE, relaxed)
# Spin magnetization, μB per cell: 0.00
data_CuTeCl2
_symmetry_space_group_name_H-M 'P n a 21'
_symmetry_Int_Tables_number 33
_cell_length_a 7.5709
_cell_length_b 10.0505
_cell_length_c 5.9776
_cell_angle_alpha 90.00
_cell_angle_beta 90.00
_cell_angle_gamma 90.00
loop_
_symmetry_equiv_pos_as_xyz
'x,y,z'
'-x,-y,z+1/2'
'-x+1/2,y+1/2,z+1/2'
'x+1/2,-y+1/2,z'
loop_
_atom_site_label
_atom_site_fract_x
_atom_site_fract_y
_atom_site_fract_z
_atom_site_occupancy
Cu1 0.1345 0.0549 0.0000 1
Te1 0.0506 0.5090 0.5792 1
Cl1 0.0579 0.0962 0.6343 1
Cl2 0.1282 0.2865 0.1141 1

2) # CuTeCl2 (GGA-PBE, relaxed)
# Spin magnetization, μB per cell: 0.00
data_CuTeCl2
_symmetry_space_group_name_H-M 'P 4 m m'
_symmetry_Int_Tables_number 99
_cell_length_a 3.3133
_cell_length_b 3.3133
_cell_length_c 8.3006
_cell_angle_alpha 90.00
_cell_angle_beta 90.00
_cell_angle_gamma 90.00
loop_
_symmetry_equiv_pos_as_xyz
'x,y,z'
'-y,x,z'
'-x,-y,z'
'y,-x,z'
'-x,y,z'
'y,x,z'
'x,-y,z'
'-y,-x,z'
loop_
_atom_site_label
_atom_site_fract_x
_atom_site_fract_y
_atom_site_fract_z
_atom_site_occupancy
Cu1 0.0000 0.0000 0.0000 1
Te1 0.5000 0.5000 0.2095 1
Cl1 0.0000 0.0000 0.4412 1
Cl2 0.5000 0.5000 0.8483 1

3) # CuTeCl2 (GGA-PBE, relaxed)
# Spin magnetization, μB per cell: 4.11
data_CuTeCl2
_symmetry_space_group_name_H-M 'R -3 m'
_symmetry_Int_Tables_number 166
_symmetry_space_group_name_Hall '-R 3 2"'
_cell_length_a 3.3705
_cell_length_b 3.3705
_cell_length_c 30.9767
_cell_angle_alpha 90.00
_cell_angle_beta 90.00
_cell_angle_gamma 120.00
loop_
_atom_site_label
_atom_site_fract_x
_atom_site_fract_y
_atom_site_fract_z
_atom_site_occupancy
Cu1 0.0000 0.0000 0.0000 1
Te1 0.0000 0.0000 0.5000 1
Cl1 0.0000 0.0000 0.2874 1

The most stable arrangement is 1), and the next structure is 15.1 kJ/mol of atoms less stable.

1) # CuTeCl2 (GGA-PBE, relaxed)
# Spin magnetization, μB per cell: 0.00
data_CuTeCl2
_symmetry_space_group_name_H-M 'C m m m'
_symmetry_Int_Tables_number 65
_symmetry_space_group_name_Hall '-C 2 2'
_cell_length_a 6.4224
_cell_length_b 8.2016
_cell_length_c 3.2407
_cell_angle_alpha 90.00
_cell_angle_beta 90.00
_cell_angle_gamma 90.00
loop_
_atom_site_label
_atom_site_fract_x
_atom_site_fract_y
_atom_site_fract_z
_atom_site_occupancy
Cu1 0.0000 0.0000 0.0000 1
Te1 0.0000 0.5000 0.0000 1
Cl1 0.2500 0.2500 0.5000 1

2) # CuTeCl2 (GGA-PBE, relaxed)
# Spin magnetization, μB per cell: 0.00
data_CuTeCl2
_symmetry_space_group_name_H-M 'C 1 2/m 1'
_symmetry_Int_Tables_number 12
_cell_length_a 6.2258
_cell_length_b 7.7728
_cell_length_c 4.9158
_cell_angle_alpha 90.00
_cell_angle_beta 129.17
_cell_angle_gamma 90.00
loop_
_symmetry_equiv_pos_as_xyz
'x,y,z'
'-x,-y,-z'
'-x,y,-z'
'x,-y,z'
'x+1/2,y+1/2,z'
'-x+1/2,-y+1/2,-z'
'-x+1/2,y+1/2,-z'
'x+1/2,-y+1/2,z'
loop_
_atom_site_label
_atom_site_fract_x
_atom_site_fract_y
_atom_site_fract_z
_atom_site_occupancy
Cu1 0.0000 0.0000 0.0000 1
Te1 0.0000 0.5000 0.0000 1
Cl1 0.2500 0.2500 0.5000 1

3) # CuTeCl2 (GGA-PBE, relaxed)
# Spin magnetization, μB per cell: 0.00
data_CuTeCl2
_symmetry_space_group_name_H-M 'I m m 2'
_symmetry_Int_Tables_number 44
_cell_length_a 3.4462
_cell_length_b 5.3625
_cell_length_c 13.7192
_cell_angle_alpha 90.00
_cell_angle_beta 90.00
_cell_angle_gamma 90.00
loop_
_symmetry_equiv_pos_as_xyz
'x,y,z'
'-x,-y,z'
'-x,y,z'
'x,-y,z'
'x+1/2,y+1/2,z+1/2'
'-x+1/2,-y+1/2,z+1/2'
'-x+1/2,y+1/2,z+1/2'
'x+1/2,-y+1/2,z+1/2'
loop_
_atom_site_label
_atom_site_fract_x
_atom_site_fract_y
_atom_site_fract_z
_atom_site_occupancy
Cu1 0.0000 0.0000 0.0000 1
Te1 0.0000 0.5000 0.6405 1
Cl1 0.0000 0.0000 0.6256 1
Cl2 0.0000 0.5000 0.3918 1

The most stable arrangement is 3), and the next structure is 34.4 kJ/mol of atoms less stable.

1) # Cu2TeCl6 (GGA-PBE, relaxed)
# Spin magnetization, μB per cell: 0.00
data_Cu2TeCl6
_symmetry_space_group_name_H-M 'C 1 2/c 1'
_symmetry_Int_Tables_number 15
_cell_length_a 13.9838
_cell_length_b 12.5294
_cell_length_c 7.3049
_cell_angle_alpha 90.00
_cell_angle_beta 106.50
_cell_angle_gamma 90.00
loop_
_symmetry_equiv_pos_as_xyz
'x,y,z'
'-x,-y,-z'
'-x,y,-z+1/2'
'x,-y,z+1/2'
'x+1/2,y+1/2,z'
'-x+1/2,-y+1/2,-z'
'-x+1/2,y+1/2,-z+1/2'
'x+1/2,-y+1/2,z+1/2'
loop_
_atom_site_label
_atom_site_fract_x
_atom_site_fract_y
_atom_site_fract_z
_atom_site_occupancy
Cu1 0.2271 0.0219 0.2692 1
Te1 0.0000 0.4018 0.2500 1
Cl1 0.1069 0.2748 0.1705 1
Cl2 0.1157 0.4275 0.6554 1
Cl3 0.1374 0.0015 0.4718 1

2) # Cu2TeCl6 (GGA-PBE, relaxed)
# Spin magnetization, μB per cell: 0.00
data_Cu2TeCl6
_symmetry_space_group_name_H-M 'C 1 2/c 1'
_symmetry_Int_Tables_number 15
_cell_length_a 13.6782
_cell_length_b 14.1077
_cell_length_c 6.5345
_cell_angle_alpha 90.00
_cell_angle_beta 105.67
_cell_angle_gamma 90.00
loop_
_symmetry_equiv_pos_as_xyz
'x,y,z'
'-x,-y,-z'
'-x,y,-z+1/2'
'x,-y,z+1/2'
'x+1/2,y+1/2,z'
'-x+1/2,-y+1/2,-z'
'-x+1/2,y+1/2,-z+1/2'
'x+1/2,-y+1/2,z+1/2'
loop_
_atom_site_label
_atom_site_fract_x
_atom_site_fract_y
_atom_site_fract_z
_atom_site_occupancy
Cu1 0.1008 0.0004 0.3147 1
Te1 0.0000 0.4149 0.2500 1
Cl1 0.1067 0.3019 0.1541 1
Cl2 0.1133 0.0976 0.5725 1
Cl3 0.1179 0.4295 0.6290 1

The most stable arrangement is 2), and the next structure is 2.5 kJ/mol of atoms less stable.